Record 1
LaHoGe2 | GGA-PBE | relaxed

The structure in POSCAR format:
```
LaHoGe2
1.0
4.058 0.000 0.000
0.000 2.225 5.527
0.000 -2.225 5.527
La Ho Ge
1 1 2
direct
0.000 0.000 0.000
0.500 0.726 0.726
0.000 0.276 0.276
0.500 0.439 0.439
```

Output
Electronic total energy: -5.50 eV/atom



Record 2
TaCu2Au | GGA-PBE | relaxed

The structure in POSCAR format:
```
TaCu2Au
1.0
2.813 0.000 0.000
0.000 2.813 0.000
0.000 0.000 7.675
Ta Cu Au
1 2 1
direct
0.000 0.000 0.000
0.500 0.500 0.250
0.500 0.500 0.750
0.000 0.000 0.500
```

Output
Electronic total energy: -5.79 eV/atom



Record 3
SmErThIn | GGA-PBE | relaxed

The structure in POSCAR format:
```
SmErThIn
1.0
0.000 3.875 3.875
3.875 0.000 3.875
3.875 3.875 0.000
Sm Er Th In
1 1 1 1
direct
0.000 0.000 0.000
0.500 0.500 0.500
0.250 0.250 0.250
0.750 0.750 0.750
```

Output
Electronic total energy: -4.89 eV/atom



Record 4
LaInTe | GGA-PBE | relaxed

The structure in POSCAR format:
```
LaInTe
1.0
0.000 3.786 3.786
3.786 0.000 3.786
3.786 3.786 0.000
La In Te
1 1 1
direct
0.000 0.000 0.000
0.750 0.750 0.750
0.250 0.250 0.250
```

Output
Electronic total energy: -4.10 eV/atom